[1]
Tb2PrTe5: relaxed, PBE.

Results
The calculation puts the total moment at 0.000 μB/atom. As for the formation energy without anion corrections: -1.236 eV/atom. The calculation puts the density of states at the Fermi level at 0.68 states/eV per atom.

abc: 9.2291 9.2291 9.2291
angles: 127.20 127.20 77.92
Last column: nearest neighbours and their distance in Å.
Atoms (fractional coordinates):
Tb: 0.1514 0.6514 0.8028  8 Te 3.07-3.30
Tb: 0.3486 0.1514 0.5000  8 Te 3.07-3.30
Tb: 0.6514 0.8486 0.5000  8 Te 3.07-3.30
Tb: 0.8486 0.3486 0.1972  8 Te 3.07-3.30
Pr: 0.2500 0.2500 0.0000  10 Te 3.43-3.59
Pr: 0.7500 0.7500 0.0000  10 Te 3.43-3.59
Te: 0.0000 0.0000 0.0000  4 Tb 3.12
Te: 0.0097 0.1959 0.5000  3 Tb 3.07-3.30, 2 Pr 3.43
Te: 0.1959 0.6959 0.1862  3 Tb 3.07-3.30, 2 Pr 3.43
Te: 0.3041 0.4903 0.5000  3 Tb 3.07-3.30, 2 Pr 3.43
Te: 0.4903 0.9903 0.1862  3 Tb 3.07-3.30, 2 Pr 3.43
Te: 0.5000 0.5000 0.0000  4 Tb 3.12
Te: 0.5097 0.0097 0.8138  3 Tb 3.07-3.30, 2 Pr 3.43
Te: 0.6959 0.5097 0.5000  3 Tb 3.07-3.30, 2 Pr 3.43
Te: 0.8041 0.3041 0.8138  3 Tb 3.07-3.30, 2 Pr 3.43
Te: 0.9903 0.8041 0.5000  3 Tb 3.07-3.30, 2 Pr 3.43

***

[2]
Cd2TcMo: relaxed, PBE.

Results
The energy relative to the elements comes out at 1.1 eV per formula unit. The calculation puts the total moment at 0.000 μB/atom. For the energy relative to the lowest polymorph listed for this composition, the calculation gives 90 meV per atom. The calculation puts the density of states at the Fermi level at 0.79 states/eV per atom.

abc: 3.1530 4.7255 9.7495
angles: 90.00 90.00 90.00
Last column: nearest neighbours and their distance in Å.
Atoms (fractional coordinates):
Cd: 0.0000 0.0000 0.0000  8 Cd 2.84-3.18, 2 Mo 2.97
Cd: 0.0000 0.5000 0.2834  8 Cd 2.84-3.18, 2 Tc 2.93
Cd: 0.5000 0.0000 0.2834  8 Cd 2.84-3.18, 2 Tc 2.93
Cd: 0.5000 0.5000 0.0000  8 Cd 2.84-3.18, 2 Mo 2.97
Tc: 0.0000 0.0000 0.5372  2 Mo 2.54, 4 Tc 2.84
Tc: 0.5000 0.5000 0.5372  2 Mo 2.54, 4 Tc 2.84
Mo: 0.0000 0.5000 0.7413  2 Tc 2.54, 4 Mo 2.84
Mo: 0.5000 0.0000 0.7413  2 Tc 2.54, 4 Mo 2.84

***

[3]
RbSmZnO3: relaxed, PBE.

Results
The calculation puts the total moment at 0.000 μB/atom. As for the formation energy without anion corrections: -2.162 eV/atom. The calculation puts the density of states at the Fermi level at 0.00 states/eV per atom.

abc: 8.0148 3.6240 8.3453
angles: 90.00 105.40 90.00
Last column: nearest neighbours and their distance in Å.
Atoms (fractional coordinates):
Rb: 0.1926 0.2500 0.2094  5 O 2.91-3.23
Rb: 0.8074 0.7500 0.7906  5 O 2.91-3.23
Sm: 0.3468 0.7500 0.8513  5 O 2.28-2.39
Sm: 0.6532 0.2500 0.1487  5 O 2.28-2.39
Zn: 0.0795 0.2500 0.6132  4 O 1.93-2.06
Zn: 0.9205 0.7500 0.3868  4 O 1.93-2.06
O: 0.1518 0.2500 0.8526  1 Zn 1.93
O: 0.1617 0.7500 0.5438  3 Zn 2.03-2.06
O: 0.4602 0.7500 0.1318  3 Sm 2.28-2.36
O: 0.5399 0.2500 0.8682  3 Sm 2.28-2.36
O: 0.8383 0.2500 0.4562  3 Zn 2.03-2.06
O: 0.8482 0.7500 0.1474  1 Zn 1.93

***

[4]
SnSbI: relaxed, PBE.

Results
The calculation puts the total moment at 0.000 μB/atom. As for the formation energy without anion corrections: -0.043 eV/atom. For the energy relative to the lowest polymorph listed for this composition, the calculation gives 118 meV per atom. The calculation puts the density of states at the Fermi level at 0.39 states/eV per atom.

abc: 13.4848 5.1666 6.1618
angles: 90.00 90.00 90.00
Last column: nearest neighbours and their distance in Å.
Atoms (fractional coordinates):
Sn: 0.1798 0.2500 0.2493  1 I 2.91, 4 Sb 3.00-3.10
Sn: 0.3202 0.7500 0.7493  1 I 2.91, 4 Sb 3.00-3.10
Sn: 0.6798 0.2500 0.2507  1 I 2.91, 4 Sb 3.00-3.10
Sn: 0.8202 0.7500 0.7507  1 I 2.91, 4 Sb 3.00-3.10
Sb: 0.2072 0.2500 0.7494  4 Sn 3.00-3.10
Sb: 0.2928 0.7500 0.2494  4 Sn 3.00-3.10
Sb: 0.7072 0.2500 0.7506  4 Sn 3.00-3.10
Sb: 0.7928 0.7500 0.2506  4 Sn 3.00-3.10
I: 0.0359 0.7500 0.7500  1 Sn 2.91
I: 0.4641 0.2500 0.2500  1 Sn 2.91
I: 0.5359 0.7500 0.7500  1 Sn 2.91
I: 0.9641 0.2500 0.2500  1 Sn 2.91